Arrangement w

Computed, not measured: crystalline TlVCd2 at its relaxed geometry at the PBE level of DFT.

```
data_TlVCd2
_chemical_formula_sum 'Tl4 V4 Cd8'
_symmetry_space_group_name_H-M 'F m -3 m'
_symmetry_Int_Tables_number 225
_symmetry_space_group_name_Hall '-F 4 2 3'
_cell_length_a 7.0933
_cell_length_b 7.0933
_cell_length_c 7.0933
_cell_angle_alpha 90.00
_cell_angle_beta 90.00
_cell_angle_gamma 90.00
loop_
_atom_site_label
_atom_site_fract_x
_atom_site_fract_y
_atom_site_fract_z
_atom_site_occupancy
Tl1 0.0000 0.0000 0.0000 1
V1 0.0000 0.0000 0.5000 1
Cd1 0.2500 0.2500 0.2500 1
```


Arrangement x

Computed, not measured: crystalline TlVCd2 at its relaxed geometry at the PBE level of DFT.

```
data_TlVCd2
_chemical_formula_sum 'Tl3 V3 Cd6'
_symmetry_space_group_name_H-M 'R -3 m'
_symmetry_Int_Tables_number 166
_symmetry_space_group_name_Hall '-R 3 2"'
_cell_length_a 3.0759
_cell_length_b 3.0759
_cell_length_c 35.4062
_cell_angle_alpha 90.00
_cell_angle_beta 90.00
_cell_angle_gamma 120.00
loop_
_atom_site_label
_atom_site_fract_x
_atom_site_fract_y
_atom_site_fract_z
_atom_site_occupancy
Tl1 0.0000 0.0000 0.0000 1
V1 0.0000 0.0000 0.5000 1
Cd1 0.0000 0.0000 0.4193 1
```


Most stable of them? arrangement w.


Arrangement w

Computed, not measured: crystalline TlV2Cd at its relaxed geometry at the PBE level of DFT.

```
data_TlV2Cd
_chemical_formula_sum 'Tl4 V8 Cd4'
_symmetry_space_group_name_H-M 'I -4 2 d'
_symmetry_Int_Tables_number 122
_symmetry_space_group_name_Hall 'I -4 2bw'
_cell_length_a 7.4431
_cell_length_b 7.4431
_cell_length_c 5.5863
_cell_angle_alpha 90.00
_cell_angle_beta 90.00
_cell_angle_gamma 90.00
loop_
_atom_site_label
_atom_site_fract_x
_atom_site_fract_y
_atom_site_fract_z
_atom_site_occupancy
Tl1 0.0000 0.0000 0.0000 1
V1 0.2500 0.2498 0.3750 1
Cd1 0.0000 0.0000 0.5000 1
```


Arrangement x

Computed, not measured: crystalline TlV2Cd at its relaxed geometry at the PBE level of DFT.

```
data_TlV2Cd
_chemical_formula_sum 'Tl4 V8 Cd4'
_symmetry_space_group_name_H-M 'F m -3 m'
_symmetry_Int_Tables_number 225
_symmetry_space_group_name_Hall '-F 4 2 3'
_cell_length_a 6.7279
_cell_length_b 6.7279
_cell_length_c 6.7279
_cell_angle_alpha 90.00
_cell_angle_beta 90.00
_cell_angle_gamma 90.00
loop_
_atom_site_label
_atom_site_fract_x
_atom_site_fract_y
_atom_site_fract_z
_atom_site_occupancy
Tl1 0.0000 0.0000 0.0000 1
V1 0.2500 0.2500 0.2500 1
Cd1 0.0000 0.0000 0.5000 1
```


Most stable of them? arrangement x.


Arrangement w

Computed, not measured: crystalline Tl2CdW at its relaxed geometry at the PBE level of DFT.

```
data_Tl2CdW
_chemical_formula_sum 'Tl4 Cd2 W2'
_symmetry_space_group_name_H-M 'C 1 2/m 1'
_symmetry_Int_Tables_number 12
_cell_length_a 10.6062
_cell_length_b 2.9821
_cell_length_c 5.5780
_cell_angle_alpha 90.00
_cell_angle_beta 96.05
_cell_angle_gamma 90.00
loop_
_symmetry_equiv_pos_as_xyz
'x,y,z'
'-x,-y,-z'
'-x,y,-z'
'x,-y,z'
'x+1/2,y+1/2,z'
'-x+1/2,-y+1/2,-z'
'-x+1/2,y+1/2,-z'
'x+1/2,-y+1/2,z'
loop_
_atom_site_label
_atom_site_fract_x
_atom_site_fract_y
_atom_site_fract_z
_atom_site_occupancy
Tl1 0.2382 0.0000 0.2386 1
Cd1 0.0000 0.0000 0.5000 1
W1 0.0000 0.5000 0.0000 1
```


Arrangement x

Computed, not measured: crystalline Tl2CdW at its relaxed geometry at the PBE level of DFT.

```
data_Tl2CdW
_chemical_formula_sum 'Tl2 Cd1 W1'
_symmetry_space_group_name_H-M 'P 4 m m'
_symmetry_Int_Tables_number 99
_cell_length_a 2.9410
_cell_length_b 2.9410
_cell_length_c 11.1352
_cell_angle_alpha 90.00
_cell_angle_beta 90.00
_cell_angle_gamma 90.00
loop_
_symmetry_equiv_pos_as_xyz
'x,y,z'
'-y,x,z'
'-x,-y,z'
'y,-x,z'
'-x,y,z'
'y,x,z'
'x,-y,z'
'-y,-x,z'
loop_
_atom_site_label
_atom_site_fract_x
_atom_site_fract_y
_atom_site_fract_z
_atom_site_occupancy
Tl1 0.0000 0.0000 0.0000 1
Tl2 0.5000 0.5000 0.3233 1
Cd1 0.5000 0.5000 0.7422 1
W1 0.0000 0.0000 0.5483 1
```


Most stable of them? arrangement x.


Arrangement w

Computed, not measured: crystalline TlCdW2 at its relaxed geometry at the PBE level of DFT.

```
data_TlCdW2
_chemical_formula_sum 'Tl2 Cd2 W4'
_symmetry_space_group_name_H-M 'C m m m'
_symmetry_Int_Tables_number 65
_symmetry_space_group_name_Hall '-C 2 2'
_cell_length_a 3.2350
_cell_length_b 4.7582
_cell_length_c 9.7390
_cell_angle_alpha 90.00
_cell_angle_beta 90.00
_cell_angle_gamma 90.00
loop_
_atom_site_label
_atom_site_fract_x
_atom_site_fract_y
_atom_site_fract_z
_atom_site_occupancy
Tl1 0.0000 0.0000 0.0000 1
Cd1 0.0000 0.0000 0.5000 1
W1 0.0000 0.5000 0.2505 1
```


Arrangement x

Computed, not measured: crystalline TlCdW2 at its relaxed geometry at the PBE level of DFT.

```
data_TlCdW2
_chemical_formula_sum 'Tl2 Cd2 W4'
_symmetry_space_group_name_H-M 'I 4/m m m'
_symmetry_Int_Tables_number 139
_symmetry_space_group_name_Hall '-I 4 2'
_cell_length_a 3.9992
_cell_length_b 3.9992
_cell_length_c 9.3570
_cell_angle_alpha 90.00
_cell_angle_beta 90.00
_cell_angle_gamma 90.00
loop_
_atom_site_label
_atom_site_fract_x
_atom_site_fract_y
_atom_site_fract_z
_atom_site_occupancy
Tl1 0.0000 0.0000 0.0000 1
Cd1 0.0000 0.0000 0.5000 1
W1 0.0000 0.5000 0.2500 1
```


Arrangement y

Computed, not measured: crystalline TlCdW2 at its relaxed geometry at the PBE level of DFT.

```
data_TlCdW2
_chemical_formula_sum 'Tl2 Cd2 W4'
_symmetry_space_group_name_H-M 'C m m 2'
_symmetry_Int_Tables_number 35
_cell_length_a 3.2465
_cell_length_b 4.8671
_cell_length_c 10.3674
_cell_angle_alpha 90.00
_cell_angle_beta 90.00
_cell_angle_gamma 90.00
loop_
_symmetry_equiv_pos_as_xyz
'x,y,z'
'-x,-y,z'
'-x,y,z'
'x,-y,z'
'x+1/2,y+1/2,z'
'-x+1/2,-y+1/2,z'
'-x+1/2,y+1/2,z'
'x+1/2,-y+1/2,z'
loop_
_atom_site_label
_atom_site_fract_x
_atom_site_fract_y
_atom_site_fract_z
_atom_site_occupancy
Tl1 0.0000 0.0000 0.0000 1
Cd1 0.0000 0.5000 0.6960 1
W1 0.0000 0.0000 0.4550 1
W2 0.0000 0.5000 0.2627 1
```


Most stable of them? arrangement y.


Arrangement w

Computed, not measured: crystalline TlCdW2 at its relaxed geometry at the PBE level of DFT.

```
data_TlCdW2
_chemical_formula_sum 'Tl3 Cd3 W6'
_symmetry_space_group_name_H-M 'R -3 m'
_symmetry_Int_Tables_number 166
_symmetry_space_group_name_Hall '-R 3 2"'
_cell_length_a 2.9723
_cell_length_b 2.9723
_cell_length_c 29.3051
_cell_angle_alpha 90.00
_cell_angle_beta 90.00
_cell_angle_gamma 120.00
loop_
_atom_site_label
_atom_site_fract_x
_atom_site_fract_y
_atom_site_fract_z
_atom_site_occupancy
Tl1 0.0000 0.0000 0.0000 1
Cd1 0.0000 0.0000 0.5000 1
W1 0.0000 0.0000 0.2495 1
```


Arrangement x

Computed, not measured: crystalline TlCdW2 at its relaxed geometry at the PBE level of DFT.

```
data_TlCdW2
_chemical_formula_sum 'Tl2 Cd2 W4'
_symmetry_space_group_name_H-M 'I m m m'
_symmetry_Int_Tables_number 71
_symmetry_space_group_name_Hall '-I 2 2'
_cell_length_a 3.2579
_cell_length_b 4.7087
_cell_length_c 9.7307
_cell_angle_alpha 90.00
_cell_angle_beta 90.00
_cell_angle_gamma 90.00
loop_
_atom_site_label
_atom_site_fract_x
_atom_site_fract_y
_atom_site_fract_z
_atom_site_occupancy
Tl1 0.0000 0.0000 0.0000 1
Cd1 0.0000 0.0000 0.5000 1
W1 0.0000 0.5000 0.2516 1
```


Most stable of them? arrangement x.


Arrangement w

Computed, not measured: crystalline TlCdW2 at its relaxed geometry at the PBE level of DFT.

```
data_TlCdW2
_chemical_formula_sum 'Tl1 Cd1 W2'
_symmetry_space_group_name_H-M 'P 4/m m m'
_symmetry_Int_Tables_number 123
_symmetry_space_group_name_Hall '-P 4 2'
_cell_length_a 3.9975
_cell_length_b 3.9975
_cell_length_c 4.6891
_cell_angle_alpha 90.00
_cell_angle_beta 90.00
_cell_angle_gamma 90.00
loop_
_atom_site_label
_atom_site_fract_x
_atom_site_fract_y
_atom_site_fract_z
_atom_site_occupancy
Tl1 0.0000 0.0000 0.0000 1
Cd1 0.5000 0.5000 0.0000 1
W1 0.0000 0.5000 0.5000 1
```


Arrangement x

Computed, not measured: crystalline TlCdW2 at its relaxed geometry at the PBE level of DFT.

```
data_TlCdW2
_chemical_formula_sum 'Tl1 Cd1 W2'
_symmetry_space_group_name_H-M 'P 4/m m m'
_symmetry_Int_Tables_number 123
_symmetry_space_group_name_Hall '-P 4 2'
_cell_length_a 2.8262
_cell_length_b 2.8262
_cell_length_c 9.4286
_cell_angle_alpha 90.00
_cell_angle_beta 90.00
_cell_angle_gamma 90.00
loop_
_atom_site_label
_atom_site_fract_x
_atom_site_fract_y
_atom_site_fract_z
_atom_site_occupancy
Tl1 0.0000 0.0000 0.0000 1
Cd1 0.0000 0.0000 0.5000 1
W1 0.5000 0.5000 0.2557 1
```


Most stable of them? arrangement w.